# 1
VASP calculation (PBE-GGA) on a geometry-optimized GdMoPt structure.

Values from the calculation:
Formation enthalpy at 0 K, kJ/mol of formula units: 47
Space group: No. 216

Unit cell a=4.5916 b=4.5916 c=4.5916 alpha=60.00 beta=60.00 gamma=60.00
With the nearest neighbours (Å) after each atom.
Fractional coordinates of all 3 atoms:
Gd 0.2500 0.2500 0.2500  4 Pt 2.81
Mo 0.7500 0.7500 0.7500  4 Pt 2.81
Pt 0.0000 0.0000 0.0000  4 Mo 2.81, 4 Gd 2.81

# 2
VASP calculation (PBE-GGA) on a geometry-optimized SrCuBi structure.

Values from the calculation:
Raw total energy, eV/atom: -3.693
Space group: No. 194

Unit cell a=4.6719 b=4.6719 c=8.9195 alpha=90.00 beta=90.00 gamma=120.00
With the nearest neighbours (Å) after each atom.
Fractional coordinates of all 6 atoms:
Bi 0.3333 0.6667 0.2500  3 Cu 2.70
Cu 0.3333 0.6667 0.7500  3 Bi 2.70
Sr 0.0000 0.0000 0.0000  6 Cu 3.50, 6 Bi 3.50
Sr 0.0000 0.0000 0.5000  6 Cu 3.50, 6 Bi 3.50
Bi 0.6667 0.3333 0.7500  3 Cu 2.70
Cu 0.6667 0.3333 0.2500  3 Bi 2.70

# 3
VASP calculation (PBE-GGA) on a geometry-optimized CuHgPbW structure.

Values from the calculation:
Energy above the most stable polymorph in this dataset, meV per atom: 0
Space group: No. 216

Unit cell a=4.7805 b=4.7805 c=4.7805 alpha=60.00 beta=60.00 gamma=60.00
With the nearest neighbours (Å) after each atom.
Fractional coordinates of all 4 atoms:
Hg 0.5000 0.5000 0.5000  4 W 2.93, 4 Cu 2.93
W 0.2500 0.2500 0.2500  4 Hg 2.93, 4 Pb 2.93
Cu 0.7500 0.7500 0.7500  4 Pb 2.93, 4 Hg 2.93
Pb 0.0000 0.0000 0.0000  4 Cu 2.93, 4 W 2.93